1.
Computed, not measured: a relaxed structure of SmGdFe2B2N2 at the PBE level of DFT.

Computed properties:
E = -7.96 eV per atom
space group = P4mm

abc: 3.5028 3.5028 7.7671
angles: 90.00 90.00 90.00
Positions (direct):
Gd1 0.0000 0.0000 0.1673
N1 0.5000 0.5000 0.1460
N2 0.0000 0.0000 0.8553
B1 0.5000 0.5000 0.3368
B2 0.0000 0.0000 0.6637
Fe1 0.5000 0.0000 0.4995
Fe2 0.0000 0.5000 0.4995
Sm1 0.5000 0.5000 0.8320

2.
Computed, not measured: a relaxed structure of TbGdFe2B2N2 at the PBE level of DFT.

Computed properties:
E = -7.99 eV per atom
space group = P4mm

abc: 3.4708 3.4708 7.7363
angles: 90.00 90.00 90.00
Positions (direct):
N1 0.5000 0.5000 0.1429
N2 0.0000 0.0000 0.8565
Fe1 0.5000 0.0000 0.5002
Fe2 0.0000 0.5000 0.5002
B1 0.5000 0.5000 0.3355
B2 0.0000 0.0000 0.6643
Gd1 0.0000 0.0000 0.1666
Tb1 0.5000 0.5000 0.8338